No. 1
The following is a DFT calculation (GGA-PBE) of crystalline Pm6Ho5 at its relaxed geometry.

abc: 10.249 8.417 6.064
angles: 73.90 62.91 52.49
Sites, in units of the cell vectors:
Pm: 0.817 0.000 0.589
Pm: 0.183 0.000 0.411
Pm: 0.324 0.723 0.892
Pm: 0.953 0.723 0.108
Pm: 0.676 0.277 0.108
Pm: 0.047 0.277 0.892
Ho: 0.500 0.000 0.500
Ho: 0.370 0.261 0.000
Ho: 0.630 0.739 0.000
Ho: 0.233 0.534 0.500
Ho: 0.767 0.466 0.500

Output
- SG = C2/m, No. 12
- formation energy from the elements (eV per atom) = 0.124


No. 2
The following is a DFT calculation (GGA-PBE) of crystalline ZnAgN3 at its relaxed geometry.

abc: 4.066 4.066 4.066
angles: 90.00 90.00 90.00
Site moments in Bohr magnetons follow the coordinates.
Sites, in units of the cell vectors:
Zn: 0.500 0.500 0.500  -0.11
Ag: 0.000 0.000 0.000  0.09
N: 0.000 0.500 0.000  0.88
N: 0.000 0.000 0.500  0.63
N: 0.500 0.000 0.000  0.96

Output
- SG = Pm-3m, No. 221
- electronic total energy (eV/atom) = -3.389


No. 3
The following is a DFT calculation (GGA-PBE) of crystalline TiH at its relaxed geometry.

abc: 5.268 5.268 5.268
angles: 90.00 90.00 90.00
Site moments in Bohr magnetons follow the coordinates.
Sites, in units of the cell vectors:
Ti: 0.250 0.000 0.500  0.45
Ti: 0.750 0.000 0.500  0.45
Ti: 0.000 0.500 0.250  0.45
Ti: 0.000 0.500 0.750  0.45
Ti: 0.500 0.250 0.000  0.45
Ti: 0.500 0.750 0.000  0.45
H: 0.250 0.500 0.000  0.00
H: 0.750 0.500 0.000  0.00
H: 0.500 0.000 0.250  0.00
H: 0.500 0.000 0.750  0.00
H: 0.000 0.250 0.500  0.00
H: 0.000 0.750 0.500  0.00

Output
- SG = Pm-3n, No. 223
- electronic total energy (eV/atom) = -5.531


No. 4
The following is a DFT calculation (GGA-PBE) of crystalline CoRu at its relaxed geometry.

abc: 2.522 4.790 4.362
angles: 90.00 90.00 90.00
Sites, in units of the cell vectors:
Co: 0.000 0.500 0.500
Co: 0.500 0.000 0.000
Ru: 0.500 0.500 0.000
Ru: 0.000 0.000 0.500

Output
- SG = Immm, No. 71
- formation energy from the elements (eV per atom) = 0.752


No. 5
The following is a DFT calculation (GGA-PBE) of crystalline TiCd2GaRh at its relaxed geometry.

abc: 5.202 4.522 5.202
angles: 90.00 90.00 90.00
Sites, in units of the cell vectors:
Ti: 0.000 0.500 0.000
Rh: 0.000 0.000 0.000
Ga: 0.500 0.500 0.500
Cd: 0.000 0.000 0.500
Cd: 0.500 0.000 0.000

Output
- SG = P4/mmm, No. 123
- formation energy from the elements (eV per atom) = 0.283


No. 6
The following is a DFT calculation (GGA-PBE) of crystalline CeAg8Se6 at its relaxed geometry.

abc: 7.636 7.636 8.371
angles: 62.86 62.86 60.00
Sites, in units of the cell vectors:
Ce: 0.000 0.000 0.000
Ag: 0.636 0.113 0.424
Ag: 0.887 0.173 0.576
Ag: 0.173 0.364 0.576
Ag: 0.573 0.573 0.280
Ag: 0.427 0.427 0.720
Ag: 0.827 0.636 0.424
Ag: 0.113 0.827 0.424
Ag: 0.364 0.887 0.576
Se: 0.408 0.052 0.790
Se: 0.948 0.249 0.210
Se: 0.249 0.592 0.210
Se: 0.751 0.408 0.790
Se: 0.052 0.751 0.790
Se: 0.592 0.948 0.210

Output
- SG = R-3, No. 148
- electronic total energy (eV/atom) = -3.700


No. 7
The following is a DFT calculation (GGA-PBE) of crystalline Li2Hg4Bi3 at its relaxed geometry.

abc: 9.059 11.686 7.394
angles: 70.56 56.46 47.08
Sites, in units of the cell vectors:
Li: 0.595 0.123 0.127
Li: 0.218 0.616 0.727
Li: 0.405 0.877 0.873
Li: 0.782 0.384 0.273
Hg: 0.606 0.870 0.356
Hg: 0.127 0.732 0.115
Hg: 0.394 0.130 0.644
Hg: 0.873 0.268 0.885
Hg: 0.253 0.123 0.158
Hg: 0.579 0.299 0.733
Hg: 0.747 0.877 0.842
Hg: 0.421 0.701 0.267
Bi: 0.933 0.050 0.308
Bi: 0.899 0.548 0.831
Bi: 0.067 0.950 0.692
Bi: 0.101 0.452 0.169
Bi: 0.379 0.411 0.377
Bi: 0.621 0.589 0.623

Output
- SG = P-1, No. 2
- formation energy from the elements (eV per atom) = -0.127


No. 8
The following is a DFT calculation (GGA-PBE) of crystalline SrPr3Ir at its relaxed geometry.

abc: 5.750 5.750 5.750
angles: 90.00 90.00 90.00
Sites, in units of the cell vectors:
Pr: 0.000 0.500 0.000
Pr: 0.000 0.000 0.500
Pr: 0.500 0.000 0.000
Sr: 0.500 0.500 0.500
Ir: 0.000 0.000 0.000

Output
- energy above the lowest structure with this stoichiometry (eV/atom) = 0.0090
- SG = Pm-3m, No. 221
- formation energy from the elements (eV per atom) = -0.223


No. 9
The following is a DFT calculation (GGA-PBE) of crystalline AgBi5Se8 at its relaxed geometry.

abc: 8.616 8.616 8.616
angles: 60.00 60.00 60.00
Sites, in units of the cell vectors:
Ag: 0.250 0.250 0.250
Bi: 0.000 0.000 0.000
Bi: 0.620 0.620 0.140
Bi: 0.620 0.620 0.620
Bi: 0.140 0.620 0.620
Bi: 0.620 0.140 0.620
Se: 0.380 0.861 0.380
Se: 0.861 0.380 0.380
Se: 0.380 0.380 0.380
Se: 0.380 0.380 0.861
Se: 0.867 0.867 0.400
Se: 0.400 0.867 0.867
Se: 0.867 0.867 0.867
Se: 0.867 0.400 0.867

Output
- SG = F-43m, No. 216
- electronic total energy (eV/atom) = -3.907


No. 10
The following is a DFT calculation (GGA-PBE) of crystalline La3TlRu at its relaxed geometry.

abc: 5.121 5.121 16.043
angles: 90.00 90.00 120.00
Sites, in units of the cell vectors:
Ru: 0.333 0.667 0.750
Ru: 0.667 0.333 0.250
Tl: 0.000 0.000 0.000
Tl: 0.000 0.000 0.500
La: 0.000 0.000 0.250
La: 0.000 0.000 0.750
La: 0.333 0.667 0.915
La: 0.333 0.667 0.585
La: 0.667 0.333 0.415
La: 0.667 0.333 0.085

Output
- energy above the lowest structure with this stoichiometry (eV/atom) = 0.3288
- SG = P6_3/mmc, No. 194
- formation energy from the elements (eV per atom) = -0.060


No. 11
The following is a DFT calculation (GGA-PBE) of crystalline Ca at its relaxed geometry.

abc: 13.742 13.742 3.721
angles: 90.00 90.00 90.00
Sites, in units of the cell vectors:
Ca: 0.408 0.858 0.000
Ca: 0.592 0.142 0.000
Ca: 0.142 0.408 0.000
Ca: 0.858 0.592 0.000
Ca: 0.908 0.358 0.500
Ca: 0.092 0.642 0.500
Ca: 0.642 0.908 0.500
Ca: 0.358 0.092 0.500
Ca: 0.395 0.335 0.000
Ca: 0.605 0.665 0.000
Ca: 0.665 0.395 0.000
Ca: 0.335 0.605 0.000
Ca: 0.895 0.835 0.500
Ca: 0.105 0.165 0.500
Ca: 0.165 0.895 0.500
Ca: 0.835 0.105 0.500

Output
- energy above the lowest structure with this stoichiometry (eV/atom) = 0.1852
- SG = I4/m, No. 87
- formation energy from the elements (eV per atom) = 0.185


No. 12
The following is a DFT calculation (GGA-PBE) of crystalline BaNdMgTl at its relaxed geometry.

abc: 5.790 5.790 5.790
angles: 60.00 60.00 60.00
Sites, in units of the cell vectors:
Mg: 0.500 0.500 0.500
Tl: 0.000 0.000 0.000
Nd: 0.750 0.750 0.750
Ba: 0.250 0.250 0.250

Output
- SG = F-43m, No. 216
- formation energy from the elements (eV per atom) = -0.155


What is the formula in the seventh record?
Li2Hg4Bi3